Entry 1:
A geometry-optimized NaLiMg2H structure. Source: the Alexandria database, functional PBE-GGA.

Structure (POSCAR):
```
NaLiMg2H
1.0
-2.5275 -3.3353 1.6519
2.6642 -0.2269 3.6182
-2.7293 3.1618 2.2080
Mg Li H Na
2 1 1 1
Direct
0.5000 0.0000 0.0000
0.0000 0.5000 0.0000
0.5000 0.5000 0.5000
0.0000 0.0000 0.0000
0.0000 0.0000 0.5000
```

## Properties
**Raw total energy**: -9.4 eV per cell

---

Entry 2:
A geometry-optimized NaLi2MgH structure. Source: the Alexandria database, functional PBE-GGA.

Structure (POSCAR):
```
NaLi2MgH
1.0
4.3874 0.0000 0.0000
0.0000 4.3874 0.0000
0.0000 0.0000 4.7756
H Li Mg Na
1 2 1 1
Direct
0.0000 0.0000 0.0000
0.0000 0.5000 0.0000
0.5000 0.0000 0.0000
0.5000 0.5000 0.5000
0.0000 0.0000 0.5000
```

## Properties
**Raw total energy**: -10.0 eV per cell

---

Entry 3:
A geometry-optimized NaLiMg2H structure. Source: the Alexandria database, functional PBE-GGA.

Structure (POSCAR):
```
NaLiMg2H
1.0
-2.4111 -1.8111 3.5889
3.9931 -0.5958 2.3819
-0.4330 3.9956 1.7254
Mg Na Li H
2 1 1 1
Direct
0.5000 0.0000 0.0000
0.0000 0.5000 0.0000
0.5000 0.5000 0.5000
0.0000 0.0000 0.5000
0.0000 0.0000 0.0000
```

## Properties
**Raw total energy**: -9.3 eV per cell

---

Entry 4:
A geometry-optimized Na2LiMgH structure. Source: the Alexandria database, functional PBE-GGA.

Structure (POSCAR):
```
Na2LiMgH
1.0
5.6410 0.0000 0.0000
0.0000 3.5889 0.0000
0.0000 0.0000 5.6410
Na Mg H Li
2 1 1 1
Direct
0.5000 0.0000 0.0000
0.0000 0.0000 0.5000
0.5000 0.5000 0.5000
0.0000 0.0000 0.0000
0.0000 0.5000 0.0000
```

## Properties
**Raw total energy**: -9.2 eV per cell

---

Entry 5:
A geometry-optimized LiMgNb2H structure. Source: the Alexandria database, functional PBE-GGA.

Structure (POSCAR):
```
LiMgNb2H
1.0
3.9758 0.0000 0.0000
0.0000 4.7518 0.0000
0.0000 0.0000 3.9758
Mg Nb Li H
1 2 1 1
Direct
0.5000 0.5000 0.5000
0.5000 0.0000 0.0000
0.0000 0.0000 0.5000
0.0000 0.5000 0.0000
0.0000 0.0000 0.0000
```

## Properties
**Raw total energy**: -26.5 eV per cell

---

Entry 6:
A geometry-optimized LiMgNi2H8 structure. Source: the Alexandria database, functional PBE-GGA.

Structure (POSCAR):
```
LiMgNi2H8
1.0
4.7414 0.0000 0.0000
2.3707 4.1062 0.0000
2.3707 1.3687 4.5216
H Ni Mg Li
8 2 1 1
Direct
0.1010 0.4372 0.8223
0.3605 0.8990 0.1777
0.5628 0.3605 0.1777
0.8070 0.8070 0.5789
0.4372 0.6395 0.8223
0.8990 0.5628 0.1777
0.6395 0.1010 0.8223
0.1930 0.1930 0.4211
0.6891 0.6891 0.9328
0.3110 0.3110 0.0672
0.0000 0.0000 0.0000
0.5000 0.5000 0.5000
```

## Properties
**Raw total energy**: -42.0 eV per cell

---

Entry 7:
A geometry-optimized LiMgNi2H structure. Source: the Alexandria database, functional PBE-GGA.

Structure (POSCAR):
```
LiMgNi2H
1.0
-0.8542 -3.0630 -1.8063
2.2439 -1.9055 2.1700
-3.0319 -0.6610 2.5547
Mg H Ni Li
1 1 2 1
Direct
0.0000 0.0000 0.5000
0.0000 0.0000 0.0000
0.0000 0.5000 0.0000
0.5000 0.0000 0.0000
0.5000 0.5000 0.5000
```

## Properties
**Raw total energy**: -18.8 eV per cell

---

Entry 8:
A geometry-optimized LiMgNi2H structure. Source: the Alexandria database, functional PBE-GGA.

Structure (POSCAR):
```
LiMgNi2H
1.0
3.6968 0.0000 0.0000
0.0000 3.6968 0.0000
0.0000 0.0000 3.8396
H Ni Mg Li
1 2 1 1
Direct
0.0000 0.0000 0.0000
0.0000 0.5000 0.0000
0.5000 0.0000 0.0000
0.5000 0.5000 0.5000
0.0000 0.0000 0.5000
```

## Properties
**Raw total energy**: -19.3 eV per cell

---

Entry 9:
A geometry-optimized LiMg2H8Os structure. Source: the Alexandria database, functional PBE-GGA.

Structure (POSCAR):
```
LiMg2H8Os
1.0
-0.3054 -4.5689 -0.6031
3.6764 1.8072 2.1330
-2.6491 -0.4792 4.9719
Os H Li Mg
1 8 1 2
Direct
0.0000 0.0000 0.0000
0.1686 0.8314 0.1846
0.6628 0.8314 0.1846
0.8314 0.1686 0.8154
0.3333 0.6667 0.5088
0.3372 0.1686 0.8154
0.1686 0.3372 0.1846
0.6667 0.3333 0.4912
0.8314 0.6628 0.8154
0.0000 0.0000 0.5000
0.3333 0.6667 0.8459
0.6667 0.3333 0.1541
```

## Properties
**Raw total energy**: -44.5 eV per cell

---

Entry 10:
A geometry-optimized LiMg3H8Os2 structure. Source: the Alexandria database, functional PBE-GGA.

Structure (POSCAR):
```
LiMg3H8Os2
1.0
4.7723 0.0000 0.0000
-2.3861 4.1329 0.0000
0.0000 0.0000 6.3177
Mg H Li Os
3 8 1 2
Direct
0.3333 0.6667 0.6365
0.0000 0.0000 0.0000
0.6667 0.3333 0.3635
0.3333 0.6667 0.9191
0.1522 0.8478 0.2891
0.6667 0.3333 0.0809
0.1522 0.3044 0.2891
0.8478 0.1522 0.7109
0.6956 0.8478 0.2891
0.3044 0.1522 0.7109
0.8478 0.6956 0.7109
0.0000 0.0000 0.5000
0.3333 0.6667 0.1739
0.6667 0.3333 0.8261
```

## Properties
**Raw total energy**: -56.2 eV per cell

---

Entry 11:
A geometry-optimized Li2MgPH structure. Source: the Alexandria database, functional PBE-GGA.

Structure (POSCAR):
```
Li2MgPH
1.0
-0.0159 2.6648 2.7634
-3.8390 -0.0152 -0.0073
0.0064 -3.0055 2.8983
P H Li Mg
1 1 2 1
Direct
0.5000 0.5000 0.5000
0.0000 0.0000 0.0000
0.5000 0.0000 0.0000
0.0000 0.5000 0.0000
0.0000 0.0000 0.5000
```

## Properties
**Raw total energy**: -16.9 eV per cell

---

Entry 12:
A geometry-optimized LiMg2HPb structure. Source: the Alexandria database, functional PBE-GGA.

Structure (POSCAR):
```
LiMg2HPb
1.0
4.5254 0.0000 0.0000
0.0000 4.5254 0.0000
0.0000 0.0000 4.2650
H Pb Li Mg
1 1 1 2
Direct
0.0000 0.0000 0.0000
0.5000 0.5000 0.5000
0.0000 0.0000 0.5000
0.0000 0.5000 0.0000
0.5000 0.0000 0.0000
```

## Properties
**Raw total energy**: -12.9 eV per cell

---

What is the formula in the eleventh record?
Li2MgPH

---

Look up the raw total energy of the first one.
-9.4 eV per cell

---

Which value of raw total energy does entry 9 give?
-44.5 eV per cell